w.
Density functional theory data (PBE) for a relaxed NaCdAsPt crystal.

Volume: 18.2 Å³ per atom
Space group: F-43m (216)
Crystal system: cubic

Unit cell a=4.691 b=4.691 c=4.691 alpha=60.00 beta=60.00 gamma=60.00
Element x y z (fractional)
As1 0.500 0.500 0.500
Cd1 0.000 0.000 0.000
Na1 0.750 0.750 0.750
Pt1 0.250 0.250 0.250

***

x.
Density functional theory data (PBE) for a relaxed NaCdAsPt crystal.

Volume: 19.0 Å³ per atom
Space group: F-43m (216)
Crystal system: cubic

Unit cell a=4.755 b=4.755 c=4.755 alpha=60.00 beta=60.00 gamma=60.00
Element x y z (fractional)
As1 0.000 0.000 0.000
Cd1 0.250 0.250 0.250
Na1 0.750 0.750 0.750
Pt1 0.500 0.500 0.500

***

Most favorable structure: w. The second most favorable one is 15.8 kJ/mol of atoms above it.

***

w.
Density functional theory data (PBE) for a relaxed NaZn2Cd2As3 crystal.

Volume: 23.1 Å³ per atom
Space group: R-3m (166)
Crystal system: trigonal

Unit cell a=11.150 b=11.150 c=11.150 alpha=22.96 beta=22.96 gamma=22.96
Element x y z (fractional)
As1 0.000 0.000 0.000
As2 0.224 0.224 0.224
As3 0.776 0.776 0.776
Cd1 0.090 0.090 0.090
Cd2 0.910 0.910 0.910
Na1 0.500 0.500 0.500
Zn1 0.301 0.301 0.301
Zn2 0.699 0.699 0.699

***

x.
Density functional theory data (PBE) for a relaxed NaZn2Cd2As3 crystal.

Volume: 23.2 Å³ per atom
Space group: R-3m (166)
Crystal system: trigonal

Unit cell a=12.096 b=12.096 c=12.096 alpha=20.25 beta=20.25 gamma=20.25
Element x y z (fractional)
As1 0.000 0.000 0.000
As2 0.222 0.222 0.222
As3 0.778 0.778 0.778
Cd1 0.297 0.297 0.297
Cd2 0.703 0.703 0.703
Na1 0.500 0.500 0.500
Zn1 0.102 0.102 0.102
Zn2 0.898 0.898 0.898

***

Most favorable structure: x. The second most favorable one is 4.8 kJ/mol of atoms above it.

***

w.
Density functional theory data (PBE) for a relaxed NbCdAs crystal.

Volume: 22.1 Å³ per atom
Space group: F-43m (216)
Crystal system: cubic

Unit cell a=4.544 b=4.544 c=4.544 alpha=60.00 beta=60.00 gamma=60.00
Element x y z (fractional)
As1 0.500 0.500 0.500
Cd1 0.000 0.000 0.000
Nb1 0.250 0.250 0.250

***

x.
Density functional theory data (PBE) for a relaxed NbCdAs crystal.

Volume: 23.1 Å³ per atom
Space group: F-43m (216)
Crystal system: cubic

Unit cell a=4.613 b=4.613 c=4.613 alpha=60.00 beta=60.00 gamma=60.00
Element x y z (fractional)
As1 0.500 0.500 0.500
Cd1 0.250 0.250 0.250
Nb1 0.000 0.000 0.000

***

Most favorable structure: w. The second most favorable one is 52.2 kJ/mol of atoms above it.

***

w.
Density functional theory data (PBE) for a relaxed NbCdAsO crystal.

Volume: 18.5 Å³ per atom
Space group: P4/nmm (129)
Crystal system: tetragonal

Unit cell a=4.233 b=4.233 c=8.251 alpha=90.00 beta=90.00 gamma=90.00
Element x y z (fractional)
As1 0.750 0.750 0.317
As2 0.250 0.250 0.683
Cd1 0.250 0.250 0.093
Cd2 0.750 0.750 0.907
Nb1 0.750 0.250 0.500
Nb2 0.250 0.750 0.500
O1 0.750 0.250 0.000
O2 0.250 0.750 0.000

***

x.
Density functional theory data (PBE) for a relaxed NbCdAsO crystal.

Volume: 20.6 Å³ per atom
Space group: Pmc2_1 (26)
Crystal system: orthorhombic

Unit cell a=3.833 b=8.329 c=5.169 alpha=90.00 beta=90.00 gamma=90.00
Element x y z (fractional)
As1 0.000 0.318 0.410
As2 0.000 0.682 0.910
Cd1 0.500 0.916 0.015
Cd2 0.500 0.084 0.515
Nb1 0.000 0.623 0.414
Nb2 0.000 0.377 0.914
O1 0.500 0.669 0.415
O2 0.500 0.331 0.915

***

y.
Density functional theory data (PBE) for a relaxed NbCdAsO crystal.

Volume: 18.1 Å³ per atom
Space group: Pmc2_1 (26)
Crystal system: orthorhombic

Unit cell a=3.484 b=7.123 c=5.844 alpha=90.00 beta=90.00 gamma=90.00
Element x y z (fractional)
As1 0.000 0.201 0.357
As2 0.000 0.799 0.857
Cd1 0.000 0.579 0.426
Cd2 0.000 0.421 0.926
Nb1 0.500 0.995 0.110
Nb2 0.500 0.005 0.610
O1 0.500 0.788 0.360
O2 0.500 0.212 0.860

***

Most favorable structure: y. The second most favorable one is 0.5 kJ/mol of atoms above it.

***

w.
Density functional theory data (PBE) for a relaxed Cd2As2O5 crystal.

Volume: 13.0 Å³ per atom
Space group: P4/mmm (123)
Crystal system: tetragonal

Unit cell a=9.646 b=3.478 c=3.478 alpha=90.00 beta=90.00 gamma=90.00
Element x y z (fractional)
As1 0.000 0.000 0.000
As2 0.500 0.000 0.000
Cd1 0.267 0.500 0.500
Cd2 0.733 0.500 0.500
O1 0.120 0.500 0.000
O2 0.880 0.500 0.000
O3 0.120 0.000 0.500
O4 0.880 0.000 0.500
O5 0.500 0.500 0.500

***

x.
Density functional theory data (PBE) for a relaxed Cd2As2O5 crystal.

Volume: 12.3 Å³ per atom
Space group: P4/mmm (123)
Crystal system: tetragonal

Unit cell a=6.679 b=4.070 c=4.070 alpha=90.00 beta=90.00 gamma=90.00
Element x y z (fractional)
As1 0.226 0.500 0.500
As2 0.774 0.500 0.500
Cd1 0.000 0.000 0.000
Cd2 0.500 0.000 0.000
O1 0.229 0.500 0.000
O2 0.771 0.500 0.000
O3 0.229 0.000 0.500
O4 0.771 0.000 0.500
O5 0.500 0.500 0.500

***

Most favorable structure: x. The second most favorable one is 46.2 kJ/mol of atoms above it.

***

w.
Density functional theory data (PBE) for a relaxed CdAsOsO crystal.

Volume: 17.1 Å³ per atom
Space group: Pm (6)
Crystal system: monoclinic

Unit cell a=5.601 b=3.563 c=6.845 alpha=90.00 beta=90.07 gamma=90.00
Element x y z (fractional)
As1 0.622 0.000 0.176
As2 0.121 0.000 0.824
Cd1 0.160 0.000 0.423
Cd2 0.660 0.000 0.577
O1 0.115 0.500 0.222
O2 0.614 0.500 0.778
Os1 0.850 0.500 0.016
Os2 0.350 0.500 0.984

***

x.
Density functional theory data (PBE) for a relaxed CdAsOsO crystal.

Volume: 16.8 Å³ per atom
Space group: P4/nmm (129)
Crystal system: tetragonal

Unit cell a=4.009 b=4.009 c=8.362 alpha=90.00 beta=90.00 gamma=90.00
Element x y z (fractional)
As1 0.000 0.500 0.321
As2 0.500 0.000 0.679
Cd1 0.500 0.000 0.110
Cd2 0.000 0.500 0.890
O1 0.000 0.000 0.000
O2 0.500 0.500 0.000
Os1 0.000 0.000 0.500
Os2 0.500 0.500 0.500

***

y.
Density functional theory data (PBE) for a relaxed CdAsOsO crystal.

Volume: 16.1 Å³ per atom
Space group: P4/nmm (129)
Crystal system: tetragonal

Unit cell a=3.604 b=3.604 c=9.897 alpha=90.00 beta=90.00 gamma=90.00
Element x y z (fractional)
As1 0.000 0.500 0.236
As2 0.500 0.000 0.764
Cd1 0.000 0.000 0.500
Cd2 0.500 0.500 0.500
O1 0.000 0.000 0.000
O2 0.500 0.500 0.000
Os1 0.500 0.000 0.127
Os2 0.000 0.500 0.873

***

Most favorable structure: w. The second most favorable one is 6.4 kJ/mol of atoms above it.